(1)
Compound: RbZrAl
Source: Alexandria
Functional: GGA-PBE
Structure: optimized geometry

The formation enthalpy at 0 K is 542 meV per atom. The mass density comes out at 3.53 Mg/m³. Its total energy is -0.1425 hartree per atom.

Cell: 9.045 4.820 8.794 Å, 90.00 90.00 90.00°
Space group Pnma (No. 62)
Inequivalent atoms, fractional coordinates:
Rb1 0.006 0.250 0.138 (multiplicity 4)
Zr1 0.103 0.750 0.450 (multiplicity 4)
Al1 0.186 0.250 0.646 (multiplicity 4)

---

(2)
Compound: RbZrAl
Source: Alexandria
Functional: GGA-PBE
Structure: optimized geometry

The formation enthalpy at 0 K is 716 meV per atom. The mass density comes out at 4.23 Mg/m³. Its total energy is -0.1361 hartree per atom.

Cell: 5.5381 5.5381 6.0235 Å, 90.00 90.00 120.00°
Space group P6_3mc (No. 186)
Inequivalent atoms, fractional coordinates:
Rb1 0.0000 0.0000 0.0000 (multiplicity 2)
Zr1 0.3333 0.6667 0.1900 (multiplicity 2)
Al1 0.3333 0.6667 0.6955 (multiplicity 2)

---

(3)
Compound: RbZrAl3
Source: Alexandria
Functional: GGA-PBE
Structure: optimized geometry

The formation enthalpy at 0 K is 587 meV per atom. The mass density comes out at 2.62 Mg/m³. Its total energy is -0.1309 hartree per atom.

Cell: 5.467 5.467 5.467 Å, 90.00 90.00 90.00°
Space group Pm-3m (No. 221)
Inequivalent atoms, fractional coordinates:
Rb1 0.000 0.000 0.000 (multiplicity 1)
Zr1 0.500 0.500 0.500 (multiplicity 1)
Al1 0.000 0.500 0.500 (multiplicity 3)